{"formula": "PmTh2Sc6", "functional": "PBE-GGA", "state": "optimized geometry", "polymorph_energy_mev_per_atom": 138.2, "final_energy_ev_per_fu": -55.3, "delta_e_f_ev_per_atom": 0.255, "spacegroup": "No. 164", "dos_at_fermi_per_ev_atom": 1.50, "cell": [[-4.6704, -1.7469, -2.9546], [3.9192, -0.5704, -5.8475], [3.2341, -6.0975, -1.4967]], "species": ["Pm", "Th", "Th", "Sc", "Sc", "Sc", "Sc", "Sc", "Sc"], "frac_coords": [[0.0000, 0.0000, 0.0000], [0.8113, 0.6668, 0.6668], [0.1887, 0.3332, 0.3332], [0.3225, 0.3799, 0.8099], [0.3229, 0.8103, 0.8103], [0.3225, 0.8099, 0.3799], [0.6775, 0.6201, 0.1901], [0.6771, 0.1897, 0.1897], [0.6775, 0.1901, 0.6201]]}